CuSi2Te4 | PBE | optimized geometry

```
CuSi2Te4
1.0
8.088 0.000 0.000
0.000 8.088 0.000
0.000 0.000 6.591
Cu Si Te
2 4 8
Direct
0.000 0.000 0.000
0.500 0.500 0.500
0.000 0.500 0.250
0.000 0.500 0.750
0.500 0.000 0.250
0.500 0.000 0.750
0.155 0.300 0.000
0.200 0.655 0.500
0.300 0.845 0.000
0.345 0.200 0.500
0.655 0.800 0.500
0.700 0.155 0.000
0.800 0.345 0.500
0.845 0.700 0.000
```

Results
Its energy above the most stable polymorph in this dataset is 0.059 eV per atom. For the formation energy (no corrections), the calculation gives 101 meV/atom. As for the space-group type: I4/m (87). As for the magnetic moment: 0.00 μB/cell.



CuSi3Te | PBE | optimized geometry

```
CuSi3Te
1.0
4.629 0.000 0.000
0.000 4.629 0.000
0.000 0.000 4.629
Cu Si Te
1 3 1
Direct
0.000 0.000 0.000
0.000 0.000 0.500
0.000 0.500 0.000
0.500 0.000 0.000
0.500 0.500 0.500
```

Results
Its energy above the most stable polymorph in this dataset is 0.000 eV per atom. For the formation energy (no corrections), the calculation gives 624 meV/atom. As for the space-group type: Pm-3m (221). As for the magnetic moment: 0.00 μB/cell.